(one)
A relaxed structure of ZrIn2Hg2. Source: Alexandria via LeMat-Bulk, functional PBE.

Cell: 8.158 8.158 3.568 Å, 90.00 90.00 90.00°
Atoms (fractional coordinates):
Zr1 0.500 0.500 0.000
Hg1 0.869 0.369 0.000
Hg2 0.369 0.131 0.000
In1 0.173 0.327 0.500
Hg3 0.131 0.631 0.000
In2 0.827 0.673 0.500
Hg4 0.631 0.869 0.000
In3 0.673 0.173 0.500
Zr2 0.000 0.000 0.000
In4 0.327 0.827 0.500

Summary:
Crystal system = tetragonal
D(E_F) = 0.42 states/eV per atom
Spin magnetization = 0.00 μB/atom

---

(two)
A relaxed structure of ZrIn2Hg2. Source: Alexandria via LeMat-Bulk, functional PBE.

Cell: 8.163 8.163 3.563 Å, 90.00 90.00 90.00°
Atoms (fractional coordinates):
In1 0.635 0.135 0.000
Hg1 0.168 0.668 0.500
Hg2 0.668 0.832 0.500
Hg3 0.332 0.168 0.500
In2 0.135 0.365 0.000
Zr1 0.500 0.500 0.000
Zr2 0.000 0.000 0.000
Hg4 0.832 0.332 0.500
In3 0.865 0.635 0.000
In4 0.365 0.865 0.000

Summary:
Crystal system = tetragonal
D(E_F) = 0.46 states/eV per atom
Spin magnetization = 0.00 μB/atom

---

Energetically preferred structure: (one) | next structure: +3.6 kJ/mol of atoms

---

(one)
A relaxed structure of Hg5Ir. Source: Alexandria via LeMat-Bulk, functional PBE.

Cell: 5.260 5.260 9.876 Å, 78.09 78.09 33.51°
Site moments in Bohr magnetons follow the coordinates.
Atoms (fractional coordinates):
Ir1 0.197 0.197 0.972  0.08
Hg1 0.029 0.029 0.566  0.00
Hg2 0.930 0.930 0.973  0.01
Hg3 0.616 0.616 0.214  0.00
Hg4 0.735 0.735 0.730  0.00
Hg5 0.327 0.327 0.379  0.00

Summary:
Crystal system = monoclinic
D(E_F) = 0.68 states/eV per atom
Spin magnetization = 0.01 μB/atom

---

(two)
A relaxed structure of Hg5Ir. Source: Alexandria via LeMat-Bulk, functional PBE.

Cell: 5.749 5.749 5.749 Å, 60.00 60.00 60.00°
Atoms (fractional coordinates):
Hg1 0.625 0.625 0.625
Hg2 0.625 0.625 0.124
Hg3 0.625 0.124 0.625
Hg4 0.250 0.250 0.250
Hg5 0.124 0.625 0.625
Ir1 0.000 0.000 0.000

Summary:
Crystal system = cubic
D(E_F) = 0.50 states/eV per atom
Spin magnetization = 0.00 μB/atom

---

(three)
A relaxed structure of Hg5Ir. Source: Alexandria via LeMat-Bulk, functional PBE.

Cell: 10.842 10.842 4.528 Å, 90.00 90.00 163.67°
Atoms (fractional coordinates):
Hg1 0.643 0.357 0.000
Hg2 0.336 0.664 0.000
Hg3 0.435 0.565 0.500
Hg4 0.017 0.983 0.000
Hg5 0.755 0.245 0.500
Ir1 0.146 0.854 0.500

Summary:
Crystal system = orthorhombic
D(E_F) = 0.58 states/eV per atom
Spin magnetization = 0.00 μB/atom

---

(four)
A relaxed structure of Hg5Ir. Source: Alexandria via LeMat-Bulk, functional PBE.

Cell: 5.395 5.395 5.901 Å, 90.00 90.00 120.00°
Atoms (fractional coordinates):
Hg1 0.500 0.000 0.500
Hg2 0.333 0.667 0.000
Hg3 0.500 0.500 0.500
Hg4 0.000 0.500 0.500
Ir1 0.000 0.000 0.000
Hg5 0.667 0.333 0.000

Summary:
Crystal system = hexagonal
D(E_F) = 0.62 states/eV per atom
Spin magnetization = 0.00 μB/atom

---

Energetically preferred structure: (one) | next structure: +4.9 kJ/mol of atoms

---

(one)
A relaxed structure of KHg2Ir. Source: Alexandria via LeMat-Bulk, functional PBE.

Cell: 3.757 3.757 7.931 Å, 90.00 90.00 90.00°
Atoms (fractional coordinates):
Hg1 0.000 0.000 0.040
Hg2 0.500 0.500 0.333
Ir1 0.000 0.000 0.391
K1 0.500 0.500 0.736

Summary:
Crystal system = tetragonal
D(E_F) = 0.39 states/eV per atom
Spin magnetization = 0.00 μB/atom

---

(two)
A relaxed structure of KHg2Ir. Source: Alexandria via LeMat-Bulk, functional PBE.

Cell: 5.332 4.351 20.286 Å, 90.00 96.25 90.00°
Atoms (fractional coordinates):
K1 0.793 0.000 0.608
Hg1 0.733 0.000 0.956
Hg2 0.267 0.500 0.544
Hg3 0.267 0.000 0.044
Ir1 0.095 0.000 0.753
K2 0.207 0.500 0.892
Ir2 0.095 0.500 0.253
Hg4 0.611 0.000 0.801
Hg5 0.389 0.000 0.199
K3 0.793 0.500 0.108
Ir3 0.905 0.000 0.247
Hg6 0.733 0.500 0.456
Hg7 0.389 0.500 0.699
Hg8 0.611 0.500 0.301
Ir4 0.905 0.500 0.747
K4 0.207 0.000 0.392

Summary:
Crystal system = monoclinic
D(E_F) = 0.42 states/eV per atom
Spin magnetization = 0.00 μB/atom

---

(three)
A relaxed structure of KHg2Ir. Source: Alexandria via LeMat-Bulk, functional PBE.

Cell: 5.723 4.637 17.293 Å, 90.00 95.43 90.00°
Atoms (fractional coordinates):
Hg1 0.629 0.000 0.750
Hg2 0.776 0.500 0.915
K1 0.754 0.500 0.583
Hg3 0.629 0.500 0.250
Ir1 0.095 0.000 0.738
K2 0.754 0.000 0.083
Ir2 0.095 0.500 0.238
K3 0.246 0.500 0.417
Ir3 0.905 0.500 0.762
K4 0.246 0.000 0.917
Hg4 0.371 0.000 0.250
Hg5 0.776 0.000 0.415
Hg6 0.371 0.500 0.750
Hg7 0.224 0.000 0.585
Hg8 0.224 0.500 0.085
Ir4 0.905 0.000 0.262

Summary:
Crystal system = monoclinic
D(E_F) = 0.49 states/eV per atom
Spin magnetization = 0.00 μB/atom

---

(four)
A relaxed structure of KHg2Ir. Source: Alexandria via LeMat-Bulk, functional PBE.

Cell: 5.361 6.958 7.062 Å, 109.51 94.72 111.57°
Atoms (fractional coordinates):
Hg1 0.000 0.500 0.500
K1 0.639 0.781 0.310
Hg2 0.240 0.198 0.190
Hg3 0.000 0.500 0.000
Ir1 0.282 0.832 0.886
Ir2 0.718 0.168 0.114
K2 0.361 0.219 0.690
Hg4 0.760 0.802 0.810

Summary:
Crystal system = triclinic
D(E_F) = 0.39 states/eV per atom
Spin magnetization = 0.00 μB/atom

---

Energetically preferred structure: (four) | next structure: +2.2 kJ/mol of atoms

---

(one)
A relaxed structure of KHg2Ir. Source: Alexandria via LeMat-Bulk, functional PBE.

Cell: 10.584 10.584 10.584 Å, 16.97 16.97 16.97°
Site moments in Bohr magnetons follow the coordinates.
Atoms (fractional coordinates):
Ir1 0.250 0.250 0.250  0.57
Hg1 0.990 0.990 0.990  0.02
Hg2 0.510 0.510 0.510  0.02
K1 0.750 0.750 0.750  0.01

Summary:
Crystal system = trigonal
D(E_F) = 0.86 states/eV per atom
Spin magnetization = 0.16 μB/atom

---

(two)
A relaxed structure of KHg2Ir. Source: Alexandria via LeMat-Bulk, functional PBE.

Cell: 4.400 5.694 8.827 Å, 91.43 90.12 90.00°
Atoms (fractional coordinates):
Hg1 0.788 0.512 0.096
K1 0.294 0.027 0.049
K2 0.291 0.597 0.424
Hg2 0.795 0.095 0.354
Hg3 0.298 0.113 0.609
Ir1 0.300 0.492 0.829
Ir2 0.800 0.335 0.780
Hg4 0.798 0.836 0.774

Summary:
Crystal system = triclinic
D(E_F) = 0.40 states/eV per atom
Spin magnetization = 0.00 μB/atom

---

(three)
A relaxed structure of KHg2Ir. Source: Alexandria via LeMat-Bulk, functional PBE.

Cell: 4.385 6.335 9.243 Å, 83.08 76.18 89.99°
Atoms (fractional coordinates):
Ir1 0.364 0.481 0.920
Hg1 0.643 0.033 0.358
Hg2 0.492 0.786 0.667
K1 0.123 0.559 0.402
K2 0.847 0.963 0.956
Ir2 0.919 0.499 0.811
Hg3 0.488 0.252 0.670
Hg4 0.758 0.420 0.131

Summary:
Crystal system = triclinic
D(E_F) = 0.31 states/eV per atom
Spin magnetization = 0.00 μB/atom

---

Energetically preferred structure: (two) | next structure: +3.9 kJ/mol of atoms

---

(one)
A relaxed structure of KHg2Ir. Source: Alexandria via LeMat-Bulk, functional PBE.

Cell: 3.065 4.024 7.658 Å, 90.00 90.00 90.00°
Atoms (fractional coordinates):
Hg1 0.000 0.000 0.059
Hg2 0.000 0.000 0.441
Ir1 0.500 0.500 0.250
K1 0.500 0.500 0.750

Summary:
Crystal system = orthorhombic
D(E_F) = 1.01 states/eV per atom
Spin magnetization = 0.00 μB/atom

---

(two)
A relaxed structure of KHg2Ir. Source: Alexandria via LeMat-Bulk, functional PBE.

Cell: 5.288 4.361 10.357 Å, 90.00 93.34 90.00°
Atoms (fractional coordinates):
Hg1 0.104 0.250 0.097
Ir1 0.407 0.750 0.506
K1 0.610 0.750 0.223
K2 0.390 0.250 0.777
Hg2 0.896 0.750 0.903
Hg3 0.077 0.250 0.397
Ir2 0.593 0.250 0.494
Hg4 0.923 0.750 0.603

Summary:
Crystal system = monoclinic
D(E_F) = 0.46 states/eV per atom
Spin magnetization = 0.00 μB/atom

---

(three)
A relaxed structure of KHg2Ir. Source: Alexandria via LeMat-Bulk, functional PBE.

Cell: 4.419 5.534 9.844 Å, 74.94 87.59 90.15°
Atoms (fractional coordinates):
K1 0.200 0.741 0.169
Hg1 0.172 0.859 0.496
Ir1 0.648 0.482 0.544
K2 0.692 0.913 0.755
Hg2 0.725 0.258 0.016
Hg3 0.684 0.239 0.321
Hg4 0.228 0.394 0.788
Ir2 0.152 0.351 0.497

Summary:
Crystal system = triclinic
D(E_F) = 0.31 states/eV per atom
Spin magnetization = 0.00 μB/atom

---

(four)
A relaxed structure of KHg2Ir. Source: Alexandria via LeMat-Bulk, functional PBE.

Cell: 5.705 5.705 9.644 Å, 72.80 72.80 90.00°
Atoms (fractional coordinates):
Hg1 0.875 0.063 0.750
Hg2 0.375 0.187 0.750
Ir1 0.000 0.000 0.000
Ir2 0.750 0.250 0.500
K1 0.500 0.500 0.000
K2 0.250 0.750 0.500
Hg3 0.937 0.625 0.250
Hg4 0.813 0.125 0.250

Summary:
Crystal system = tetragonal
D(E_F) = 0.68 states/eV per atom
Spin magnetization = 0.00 μB/atom

---

Energetically preferred structure: (three) | next structure: +1.5 kJ/mol of atoms

---

(one)
A relaxed structure of KHg2Ir. Source: Alexandria via LeMat-Bulk, functional PBE.

Cell: 6.324 6.481 6.800 Å, 67.95 65.71 70.27°
Atoms (fractional coordinates):
Ir1 0.690 0.185 0.733
Ir2 0.367 0.514 0.734
Hg1 0.278 0.140 0.102
K1 0.572 0.380 0.244
Hg2 0.023 0.364 0.718
Hg3 0.092 0.899 0.559
K2 0.918 0.758 0.172
Hg4 0.535 0.844 0.731

Summary:
Crystal system = triclinic
D(E_F) = 0.11 states/eV per atom
Spin magnetization = 0.00 μB/atom

---

(two)
A relaxed structure of KHg2Ir. Source: Alexandria via LeMat-Bulk, functional PBE.

Cell: 6.248 6.596 6.731 Å, 118.76 94.88 106.52°
Atoms (fractional coordinates):
K1 0.898 0.646 0.194
Ir1 0.236 0.708 0.750
Hg1 0.846 0.821 0.733
Hg2 0.446 0.862 0.189
Hg3 0.862 0.280 0.596
K2 0.286 0.312 0.193
Hg4 0.377 0.336 0.704
Ir2 0.497 0.952 0.633

Summary:
Crystal system = triclinic
D(E_F) = 0.34 states/eV per atom
Spin magnetization = 0.00 μB/atom

---

Energetically preferred structure: (two) | next structure: +3.0 kJ/mol of atoms